1.
Here is crystalline ErZn12Pt4 at its relaxed geometry from Alexandria. Energies are from PBE-GGA.

Unit cell a=8.696 b=8.696 c=8.696 alpha=90.00 beta=90.00 gamma=90.00
Space group Im-3 (No. 204)
One atom of each set of equivalent atoms:
Er  0.000  0.000  0.000 x2
Zn  0.000  0.351  0.151 x24
Pt  0.250  0.250  0.250 x8

Properties
As for the formation energy: -0.091 eV per atom. As for the theoretical density: 8.7 g/cm3. For the total energy, the calculation gives -2.68 eV per atom. As for the crystal system: cubic. The value obtained for the density of states at the Fermi level is 16.299 states/eV per cell. Its total magnetization is 0.00 μB per atom.

***

2.
Here is crystalline Ac2Pm4Pr5 at its relaxed geometry from Alexandria. Energies are from PBE-GGA.

Unit cell a=13.105 b=7.059 c=11.002 alpha=90.00 beta=126.47 gamma=90.00
Space group C2/m (No. 12)
One atom of each set of equivalent atoms:
Ac  0.066  0.000  0.243 x4
Pm  0.110  0.500  0.374 x4
Pm  0.237  0.500  0.967 x4
Pr  0.000  0.500  0.000 x2
Pr  0.158  0.234  0.667 x8

Properties
As for the formation energy: 0.133 eV per atom. As for the theoretical density: 7.1 g/cm3. For the total energy, the calculation gives -4.51 eV per atom. The energy relative to the lowest polymorph listed for this composition is 109 meV/atom. As for the crystal system: monoclinic. The value obtained for the density of states at the Fermi level is 29.002 states/eV per cell. Its total magnetization is 0.00 μB per atom.

***

3.
Here is crystalline Ba2TiCu at its relaxed geometry from Alexandria. Energies are from PBE-GGA.

Unit cell a=8.185 b=8.185 c=8.185 alpha=90.00 beta=90.00 gamma=90.00
Space group Fm-3m (No. 225)
One atom of each set of equivalent atoms:
Ba  0.250  0.250  0.250 x8
Ti  0.000  0.000  0.000 x4
Cu  0.000  0.000  0.500 x4

Properties
As for the formation energy: 0.645 eV per atom. As for the theoretical density: 4.7 g/cm3. For the total energy, the calculation gives -3.31 eV per atom. The energy relative to the lowest polymorph listed for this composition is 0 meV/atom. As for the crystal system: cubic. The value obtained for the density of states at the Fermi level is 35.059 states/eV per cell. Its total magnetization is 1.09 μB per atom.